First-principles (PBE) data for a relaxed structure of Hf5SnHg2, as listed in the Alexandria database.

a = 7.3911 Å, b = 7.3911 Å, c = 12.8943 Å
α = 90.00°, β = 90.00°, γ = 90.00°
Space group I4/mcm (No. 140)
One atom of each set of equivalent atoms:
Hf (0.0000, 0.0000, 0.0000) x4
Hf (0.1527, 0.3473, 0.1602) x16
Sn (0.0000, 0.0000, 0.2500) x4
Hg (0.1413, 0.3587, 0.5000) x8

Results
Calculated volume = 704.4 Å³/cell
Final energy = -6.874 eV per atom
Energy of formation = -77 meV/atom
Crystal system = tetragonal